1.
This record from Alexandria describes a geometry-optimized Pu4Hg3Pd structure. The functional is PBE.

Properties
Magnetization ... 0.002 μB per atom
Formation energy from the elements ... -192.2 meV per atom
SG ... P4/mmm, No. 123

Cell lengths 3.2890, 3.2890, 17.9835 Å; angles 90.00, 90.00, 90.00 degrees
Last column: nearest neighbours and their distance in Å.
Element x y z (fractional)
Hg1 0.5000 0.5000 0.2402  4 Hg 3.29, 8 Pu 3.30-3.32
Hg2 0.5000 0.5000 0.5000  4 Hg 3.29, 8 Pu 3.30
Hg3 0.5000 0.5000 0.7598  4 Hg 3.29, 8 Pu 3.30-3.32
Pd1 0.5000 0.5000 0.0000  8 Pu 3.03, 4 Pd 3.29
Pu1 0.0000 0.0000 0.8917  4 Pd 3.03, 4 Pu 3.29, 4 Hg 3.32
Pu2 0.0000 0.0000 0.1083  4 Pd 3.03, 4 Pu 3.29, 4 Hg 3.32
Pu3 0.0000 0.0000 0.3701  4 Pu 3.29, 8 Hg 3.30
Pu4 0.0000 0.0000 0.6299  4 Pu 3.29, 8 Hg 3.30

=====

2.
This record from Alexandria describes a geometry-optimized Pu3HgPd2 structure. The functional is PBE.

Properties
Magnetization ... 2.927 μB per atom
Formation energy from the elements ... -290.5 meV per atom
SG ... P4/mmm, No. 123

Cell lengths 3.8501, 3.8501, 9.2614 Å; angles 90.00, 90.00, 90.00 degrees
Last column: nearest neighbours and their distance in Å.
Element x y z (fractional)
Pu1 0.0000 0.0000 0.0000  2 Pu 2.96, 8 Pd 3.10
Pu2 0.0000 0.0000 0.6804  1 Pu 2.96, 4 Pd 3.10, 4 Hg 3.19
Pu3 0.0000 0.0000 0.3196  1 Pu 2.96, 4 Pd 3.10, 4 Hg 3.19
Hg1 0.5000 0.5000 0.5000  2 Pd 3.15, 8 Pu 3.19
Pd1 0.5000 0.5000 0.8396  1 Pd 2.97, 8 Pu 3.10, 1 Hg 3.15
Pd2 0.5000 0.5000 0.1604  1 Pd 2.97, 8 Pu 3.10, 1 Hg 3.15

=====

3.
This record from Alexandria describes a geometry-optimized PuHgPd6 structure. The functional is PBE.

Properties
Magnetization ... 0.503 μB per atom
Formation energy from the elements ... -355.7 meV per atom
SG ... P4/mmm, No. 123

Cell lengths 4.1070, 4.1070, 8.1675 Å; angles 90.00, 90.00, 90.00 degrees
Last column: nearest neighbours and their distance in Å.
Element x y z (fractional)
Pu1 0.0000 0.0000 0.5000  12 Pd 2.88-2.90
Hg1 0.0000 0.0000 0.0000  12 Pd 2.90-2.91
Pd1 0.5000 0.5000 0.0000  4 Hg 2.90, 8 Pd 2.91
Pd2 0.5000 0.5000 0.5000  8 Pd 2.88, 4 Pu 2.90
Pd3 0.5000 0.0000 0.2525  8 Pd 2.88-2.91, 2 Pu 2.88, 2 Hg 2.91
Pd4 0.5000 0.0000 0.7475  2 Pu 2.88, 8 Pd 2.88-2.91, 2 Hg 2.91
Pd5 0.0000 0.5000 0.2525  8 Pd 2.88-2.91, 2 Pu 2.88, 2 Hg 2.91
Pd6 0.0000 0.5000 0.7475  2 Pu 2.88, 8 Pd 2.88-2.91, 2 Hg 2.91

=====

4.
This record from Alexandria describes a geometry-optimized Pu3HgPd2 structure. The functional is PBE.

Properties
Magnetization ... 2.854 μB per atom
Formation energy from the elements ... -299.7 meV per atom
SG ... P4/mmm, No. 123

Cell lengths 3.4845, 3.4845, 11.5012 Å; angles 90.00, 90.00, 90.00 degrees
Last column: nearest neighbours and their distance in Å.
Element x y z (fractional)
Pu1 0.0000 0.0000 0.0000  8 Pd 3.04
Pu2 0.0000 0.0000 0.6905  4 Pd 3.04, 4 Hg 3.30
Pu3 0.0000 0.0000 0.3095  4 Pd 3.04, 4 Hg 3.30
Hg1 0.5000 0.5000 0.5000  8 Pu 3.30, 4 Hg 3.48
Pd1 0.5000 0.5000 0.8448  8 Pu 3.04
Pd2 0.5000 0.5000 0.1552  8 Pu 3.04

=====

5.
This record from Alexandria describes a geometry-optimized Pu2HgPd6 structure. The functional is PBE.

Properties
Magnetization ... 1.154 μB per atom
Formation energy from the elements ... -363.7 meV per atom
SG ... P-3m1, No. 164

Cell lengths 6.1812, 5.7482, 5.7482 Å; angles 60.00, 89.95, 89.95 degrees
Last column: nearest neighbours and their distance in Å.
Element x y z (fractional)
Pu1 0.8082 0.6668 0.6668  7 Pd 3.00-3.35
Pu2 0.1918 0.3332 0.3332  7 Pd 3.00-3.35
Hg1 0.0000 0.0000 0.0000  6 Pd 2.68-2.69
Pd1 0.3280 0.3523 0.8236  1 Hg 2.68, 4 Pd 2.71-2.75, 2 Pu 3.00
Pd2 0.3292 0.8236 0.8236  1 Hg 2.69, 4 Pd 2.71-2.75, 2 Pu 3.00
Pd3 0.3280 0.8236 0.3523  1 Hg 2.68, 4 Pd 2.71-2.75, 2 Pu 3.00
Pd4 0.6720 0.6477 0.1764  1 Hg 2.68, 4 Pd 2.71-2.75, 2 Pu 3.00
Pd5 0.6708 0.1764 0.1764  1 Hg 2.69, 4 Pd 2.71-2.75, 2 Pu 3.00
Pd6 0.6720 0.1764 0.6477  1 Hg 2.68, 4 Pd 2.71-2.75, 2 Pu 3.00

=====

6.
This record from Alexandria describes a geometry-optimized Pu2HgPd9 structure. The functional is PBE.

Properties
Magnetization ... 0.728 μB per atom
Formation energy from the elements ... -423.1 meV per atom
SG ... P4/mmm, No. 123

Cell lengths 4.1272, 4.1272, 12.2875 Å; angles 90.00, 90.00, 90.00 degrees
Last column: nearest neighbours and their distance in Å.
Element x y z (fractional)
Pu1 0.0000 0.0000 0.3282  12 Pd 2.86-2.95
Pu2 0.0000 0.0000 0.6718  12 Pd 2.86-2.95
Hg1 0.0000 0.0000 0.0000  12 Pd 2.91-2.92
Pd1 0.5000 0.5000 0.0000  8 Pd 2.91, 4 Hg 2.92
Pd2 0.5000 0.5000 0.3335  8 Pd 2.91, 4 Pu 2.92
Pd3 0.5000 0.5000 0.6665  8 Pd 2.91, 4 Pu 2.92
Pd4 0.5000 0.0000 0.1669  2 Pu 2.86, 8 Pd 2.91-2.92, 2 Hg 2.91
Pd5 0.5000 0.0000 0.5000  8 Pd 2.91-2.92, 4 Pu 2.95
Pd6 0.5000 0.0000 0.8331  2 Pu 2.86, 8 Pd 2.91-2.92, 2 Hg 2.91
Pd7 0.0000 0.5000 0.1669  2 Pu 2.86, 8 Pd 2.91-2.92, 2 Hg 2.91
Pd8 0.0000 0.5000 0.5000  8 Pd 2.91-2.92, 4 Pu 2.95
Pd9 0.0000 0.5000 0.8331  2 Pu 2.86, 8 Pd 2.91-2.92, 2 Hg 2.91

=====

7.
This record from Alexandria describes a geometry-optimized Pu2Hg3Pd2 structure. The functional is PBE.

Properties
Magnetization ... 1.593 μB per atom
Formation energy from the elements ... -173.6 meV per atom
SG ... P2/m, No. 10

Cell lengths 4.1628, 3.5931, 11.8537 Å; angles 90.00, 100.05, 90.00 degrees
Last column: nearest neighbours and their distance in Å.
Element x y z (fractional)
Pu1 0.4194 0.5000 0.8387  4 Pd 2.94
Pu2 0.5806 0.5000 0.1613  4 Pd 2.94
Hg1 0.2941 0.0000 0.5875  2 Pd 2.81-2.82, 2 Hg 2.91-2.92
Hg2 0.0000 0.0000 0.0000  2 Pd 2.92
Hg3 0.7059 0.0000 0.4125  2 Pd 2.81-2.82, 2 Hg 2.91-2.92
Pd1 0.1247 0.0000 0.2500  3 Hg 2.81-2.92, 4 Pu 2.94
Pd2 0.8753 0.0000 0.7500  3 Hg 2.81-2.92, 4 Pu 2.94

=====

8.
This record from Alexandria describes a geometry-optimized Pu5HgPd6 structure. The functional is PBE.

Properties
Magnetization ... 1.415 μB per atom
Formation energy from the elements ... -360.2 meV per atom
SG ... Immm, No. 71

Cell lengths 5.2083, 8.1461, 8.7747 Å; angles 62.34, 72.73, 50.23 degrees
Last column: nearest neighbours and their distance in Å.
Element x y z (fractional)
Pu1 0.5000 0.1596 0.6807  8 Pd 2.98-3.15, 2 Pu 3.14
Pu2 0.0000 0.3268 0.3464  8 Pd 2.98-3.08, 2 Pu 3.14
Pu3 0.5000 0.5000 0.0000  8 Pd 2.99-3.00, 2 Hg 3.13
Pu4 0.0000 0.6732 0.6536  8 Pd 2.98-3.08, 2 Pu 3.14
Pu5 0.5000 0.8404 0.3193  8 Pd 2.98-3.15, 2 Pu 3.14
Hg1 0.0000 0.0000 0.0000  8 Pd 3.00-3.08, 2 Pu 3.13
Pd1 0.7485 0.0875 0.3281  7 Pu 2.98-3.15, 1 Hg 3.00, 2 Pd 3.11-3.15
Pd2 0.2515 0.5844 0.3281  7 Pu 2.98-3.15, 1 Hg 3.00, 2 Pd 3.11-3.15
Pd3 0.2374 0.2625 0.0000  2 Pd 2.97-3.29, 6 Pu 2.98-3.08, 2 Hg 3.08
Pd4 0.7626 0.7375 0.0000  2 Pd 2.97-3.29, 6 Pu 2.98-3.08, 2 Hg 3.08
Pd5 0.7485 0.4156 0.6719  7 Pu 2.98-3.15, 1 Hg 3.00, 2 Pd 3.11-3.15
Pd6 0.2515 0.9125 0.6719  7 Pu 2.98-3.15, 1 Hg 3.00, 2 Pd 3.11-3.15

=====

9.
This record from Alexandria describes a geometry-optimized PuHg5Pd structure. The functional is PBE.

Properties
Magnetization ... 0.837 μB per atom
Formation energy from the elements ... -152.6 meV per atom
SG ... P4/mmm, No. 123

Cell lengths 4.8506, 4.8506, 7.3255 Å; angles 90.00, 90.00, 90.00 degrees
Last column: nearest neighbours and their distance in Å.
Element x y z (fractional)
Pu1 0.0000 0.0000 0.0000  12 Hg 3.24-3.43
Hg1 0.5000 0.0000 0.7071  2 Pd 2.86, 1 Hg 3.03
Hg2 0.0000 0.5000 0.7071  2 Pd 2.86, 1 Hg 3.03
Hg3 0.5000 0.5000 0.0000  8 Hg 3.24, 4 Pu 3.43
Hg4 0.0000 0.5000 0.2929  2 Pd 2.86, 1 Hg 3.03
Hg5 0.5000 0.0000 0.2929  2 Pd 2.86, 1 Hg 3.03
Pd1 0.0000 0.0000 0.5000  8 Hg 2.86

=====

10.
This record from Alexandria describes a geometry-optimized PuHg3Pd12 structure. The functional is PBE.

Properties
Magnetization ... 0.251 μB per atom
Formation energy from the elements ... -222.1 meV per atom
SG ... P4/mmm, No. 123

Cell lengths 4.1011, 4.1011, 16.2161 Å; angles 90.00, 90.00, 90.00 degrees
Last column: nearest neighbours and their distance in Å.
Element x y z (fractional)
Pu1 0.0000 0.0000 0.0000  12 Pd 2.90
Hg1 0.0000 0.0000 0.2536  12 Pd 2.87-2.91
Hg2 0.0000 0.0000 0.5000  12 Pd 2.86-2.90
Hg3 0.0000 0.0000 0.7464  12 Pd 2.87-2.91
Pd1 0.5000 0.5000 0.0000  8 Pd 2.90, 4 Pu 2.90
Pd2 0.5000 0.5000 0.2520  8 Pd 2.89, 4 Hg 2.90
Pd3 0.5000 0.5000 0.5000  8 Pd 2.86, 4 Hg 2.90
Pd4 0.5000 0.5000 0.7480  8 Pd 2.89, 4 Hg 2.90
Pd5 0.5000 0.0000 0.1260  8 Pd 2.89-2.90, 2 Pu 2.90, 2 Hg 2.91
Pd6 0.5000 0.0000 0.3771  4 Hg 2.86-2.87, 8 Pd 2.86-2.90
Pd7 0.5000 0.0000 0.6229  4 Hg 2.86-2.87, 8 Pd 2.86-2.90
Pd8 0.5000 0.0000 0.8740  8 Pd 2.89-2.90, 2 Pu 2.90, 2 Hg 2.91
Pd9 0.0000 0.5000 0.1260  8 Pd 2.89-2.90, 2 Pu 2.90, 2 Hg 2.91
Pd10 0.0000 0.5000 0.3771  4 Hg 2.86-2.87, 8 Pd 2.86-2.90
Pd11 0.0000 0.5000 0.6229  4 Hg 2.86-2.87, 8 Pd 2.86-2.90
Pd12 0.0000 0.5000 0.8740  8 Pd 2.89-2.90, 2 Pu 2.90, 2 Hg 2.91

=====

11.
This record from Alexandria describes a geometry-optimized PuHg2Pd5 structure. The functional is PBE.

Properties
Magnetization ... 0.594 μB per atom
Formation energy from the elements ... -326.6 meV per atom
SG ... I4/mmm, No. 139

Cell lengths 4.2346, 4.2346, 8.5976 Å; angles 104.25, 104.25, 90.02 degrees
Last column: nearest neighbours and their distance in Å.
Element x y z (fractional)
Pu1 0.0000 0.0000 0.0000  12 Pd 2.91-2.99
Hg1 0.2535 0.2535 0.5069  8 Pd 2.90-2.98, 4 Hg 3.00
Hg2 0.7465 0.7465 0.4931  8 Pd 2.90-2.98, 4 Hg 3.00
Pd1 0.5000 0.5000 0.0000  8 Pd 2.91, 4 Pu 2.99
Pd2 0.6234 0.1234 0.2469  4 Hg 2.90-2.98, 2 Pu 2.91, 6 Pd 2.91-2.99
Pd3 0.1234 0.6234 0.2469  4 Hg 2.90-2.98, 2 Pu 2.91, 6 Pd 2.91-2.99
Pd4 0.3766 0.8766 0.7531  4 Hg 2.90-2.98, 2 Pu 2.91, 6 Pd 2.91-2.99
Pd5 0.8766 0.3766 0.7531  4 Hg 2.90-2.98, 2 Pu 2.91, 6 Pd 2.91-2.99

=====

12.
This record from Alexandria describes a geometry-optimized Pu2Hg3Pd structure. The functional is PBE.

Properties
Magnetization ... 1.911 μB per atom
Formation energy from the elements ... -248.7 meV per atom
SG ... Pmm2, No. 25

Cell lengths 3.1282, 5.0360, 8.7012 Å; angles 90.00, 90.00, 90.00 degrees
Last column: nearest neighbours and their distance in Å.
Element x y z (fractional)
Pu1 0.0000 0.5000 0.0158  2 Pu 3.13, 2 Pd 3.15, 10 Hg 3.26-3.49
Pu2 0.0000 0.0000 0.4904  2 Pu 3.13, 8 Hg 3.18-3.37, 4 Pd 3.27
Hg1 0.5000 0.0000 0.8330  5 Hg 2.94-3.13
Hg2 0.5000 0.0000 0.1726  2 Pd 2.87, 3 Hg 2.95-3.13, 2 Pu 3.18
Hg3 0.5000 0.5000 0.6577  1 Pd 2.85, 4 Hg 2.94-3.13
Pd1 0.5000 0.5000 0.3304  3 Hg 2.85-2.87, 2 Pd 3.13, 2 Pu 3.15

=====

Which value of magnetization does entry 4 give?
2.854 μB per atom